*w*
# SrZn2NiSn

A relaxed SrZn2NiSn crystal (PBE, Alexandria via LeMat-Bulk).

Results
Total magnetic moment   0.00 Bohr magnetons per cell
SG   No. 123
V   130.6 Å³/cell

Structure (POSCAR):
```
SrZn2NiSn
1.0
5.1795 0.0000 0.0000
0.0000 5.1795 0.0000
0.0000 0.0000 4.8681
Sr Zn Ni Sn
1 2 1 1
Direct
0.0000 0.0000 0.0000
0.0000 0.5000 0.5000
0.5000 0.0000 0.5000
0.5000 0.5000 0.0000
0.5000 0.5000 0.5000
```


*x*
# SrZn2NiSn

A relaxed SrZn2NiSn crystal (PBE, Alexandria via LeMat-Bulk).

Results
Total magnetic moment   0.00 Bohr magnetons per cell
SG   No. 123
V   111.6 Å³/cell

Structure (POSCAR):
```
SrZn2NiSn
1.0
4.7704 0.0000 0.0000
0.0000 4.7704 0.0000
0.0000 0.0000 4.9028
Sr Zn Ni Sn
1 2 1 1
Direct
0.0000 0.0000 0.0000
0.0000 0.5000 0.5000
0.5000 0.0000 0.5000
0.5000 0.5000 0.5000
0.5000 0.5000 0.0000
```


The structure shown above that is least stable: *w*.